VASP calculation (GGA-PBE) on K2TlIn after structural relaxation.

Properties
**Offset from the most stable computed form**: 0.569 eV per formula unit
**Uncorrected energy**: -1.7790 eV per atom

a b c (Å): 5.672 3.520 8.001
angles (deg): 69.81 90.00 90.00
Fractional coordinates of all 4 atoms:
1 K 0.000 0.009 0.998
2 K 0.000 0.491 0.502
3 In 0.500 0.750 0.750
4 Tl 0.500 0.250 0.250

---

VASP calculation (GGA-PBE) on KTl4In5 after structural relaxation.

Properties
**Uncorrected energy**: -2.4419 eV per atom

a b c (Å): 3.495 9.678 9.280
angles (deg): 104.61 90.00 100.40
Fractional coordinates of all 10 atoms:
1 Tl 0.304 0.608 0.908
2 In 0.889 0.779 0.230
3 K 0.500 0.000 0.000
4 Tl 0.108 0.215 0.327
5 In 0.709 0.418 0.605
6 In 0.111 0.221 0.770
7 In 0.500 0.000 0.500
8 Tl 0.892 0.785 0.673
9 Tl 0.696 0.392 0.092
10 In 0.291 0.582 0.395

---

VASP calculation (GGA-PBE) on KTlIn after structural relaxation.

Properties
**Offset from the most stable computed form**: 0.530 eV per formula unit
**Uncorrected energy**: -2.0200 eV per atom

a b c (Å): 5.420 5.420 5.420
angles (deg): 60.00 60.00 60.00
Fractional coordinates of all 3 atoms:
1 K 0.500 0.500 0.500
2 Tl 0.750 0.750 0.750
3 In 0.000 0.000 0.000

---

VASP calculation (GGA-PBE) on KTlIn3 after structural relaxation.

Properties
**Offset from the most stable computed form**: 1.673 eV per formula unit
**Uncorrected energy**: -2.0946 eV per atom

a b c (Å): 5.907 5.907 5.907
angles (deg): 90.00 90.00 90.00
Fractional coordinates of all 5 atoms:
1 In 0.000 0.500 0.000
2 In 0.500 0.000 0.000
3 K 0.500 0.500 0.500
4 In 0.000 0.000 0.500
5 Tl 0.000 0.000 0.000

---

VASP calculation (GGA-PBE) on K2Tl5In3 after structural relaxation.

Properties
**Uncorrected energy**: -2.2944 eV per atom

a b c (Å): 7.258 10.396 10.396
angles (deg): 76.65 69.57 69.57
Fractional coordinates of all 20 atoms:
1 In 0.872 0.756 0.501
2 In 0.628 0.499 0.244
3 K 0.872 0.383 0.872
4 Tl 0.993 0.757 0.757
5 K 0.128 0.617 0.128
6 Tl 0.493 0.757 0.757
7 In 0.250 0.000 0.000
8 K 0.372 0.872 0.383
9 In 0.372 0.501 0.756
10 In 0.750 0.000 0.000
11 Tl 0.385 0.260 0.971
12 In 0.128 0.244 0.499
13 Tl 0.250 0.500 0.500
14 Tl 0.507 0.243 0.243
15 Tl 0.750 0.500 0.500
16 Tl 0.615 0.740 0.029
17 Tl 0.885 0.971 0.260
18 K 0.628 0.128 0.617
19 Tl 0.115 0.029 0.740
20 Tl 0.007 0.243 0.243

---

VASP calculation (GGA-PBE) on K6TlIn after structural relaxation.

Properties
**Uncorrected energy**: -1.4788 eV per atom

a b c (Å): 4.865 9.754 9.754
angles (deg): 95.20 90.00 90.00
Fractional coordinates of all 8 atoms:
1 K 0.000 0.663 0.337
2 K 0.000 0.546 0.795
3 K 0.500 0.350 0.100
4 K 0.000 0.205 0.454
5 In 0.000 0.139 0.861
6 K 0.500 0.900 0.650
7 K 0.500 0.931 0.069
8 Tl 0.500 0.267 0.733

---

VASP calculation (GGA-PBE) on K2Tl2In after structural relaxation.

Properties
**Offset from the most stable computed form**: 0.867 eV per formula unit
**Uncorrected energy**: -1.8646 eV per atom

a b c (Å): 4.425 4.425 11.131
angles (deg): 78.53 78.53 90.00
Fractional coordinates of all 5 atoms:
1 Tl 0.250 0.750 0.500
2 Tl 0.750 0.250 0.500
3 K 0.600 0.600 0.801
4 K 0.400 0.400 0.199
5 In 0.000 0.000 0.000

---

VASP calculation (GGA-PBE) on KTlIn2 after structural relaxation.

Properties
**Offset from the most stable computed form**: 0.805 eV per formula unit
**Uncorrected energy**: -2.1402 eV per atom

a b c (Å): 5.410 5.410 11.581
angles (deg): 76.49 76.49 90.00
Fractional coordinates of all 8 atoms:
1 In 0.984 0.625 0.250
2 In 0.375 0.234 0.750
3 In 0.766 0.125 0.250
4 Tl 0.750 0.250 0.500
5 Tl 0.000 0.000 0.000
6 In 0.875 0.016 0.750
7 K 0.250 0.750 0.500
8 K 0.500 0.500 0.000

---

VASP calculation (GGA-PBE) on KTl5In2 after structural relaxation.

Properties
**Offset from the most stable computed form**: 0.000 eV per formula unit
**Uncorrected energy**: -2.3366 eV per atom

a b c (Å): 3.484 8.731 8.731
angles (deg): 74.79 78.49 78.49
Fractional coordinates of all 8 atoms:
1 Tl 0.366 0.401 0.867
2 In 0.751 0.750 0.750
3 Tl 0.634 0.133 0.599
4 Tl 0.634 0.599 0.133
5 K 0.000 0.000 0.000
6 Tl 0.000 0.500 0.500
7 In 0.249 0.250 0.250
8 Tl 0.366 0.867 0.401

---

VASP calculation (GGA-PBE) on K2TlIn after structural relaxation.

Properties
**Offset from the most stable computed form**: 0.152 eV per formula unit
**Uncorrected energy**: -1.8833 eV per atom

a b c (Å): 4.037 4.032 10.254
angles (deg): 90.00 90.00 90.00
Fractional coordinates of all 4 atoms:
1 K 0.000 0.000 0.934
2 In 0.500 0.500 0.706
3 Tl 0.000 0.000 0.544
4 K 0.500 0.500 0.317

---

VASP calculation (GGA-PBE) on K2TlIn after structural relaxation.

Properties
**Offset from the most stable computed form**: 0.111 eV per formula unit
**Uncorrected energy**: -1.8936 eV per atom

a b c (Å): 5.766 5.767 5.761
angles (deg): 120.11 120.10 89.84
Fractional coordinates of all 4 atoms:
1 K 0.000 0.000 0.000
2 In 0.750 0.250 0.500
3 Tl 0.500 0.500 0.000
4 K 0.250 0.750 0.500

---

VASP calculation (GGA-PBE) on KTlIn2 after structural relaxation.

Properties
**Offset from the most stable computed form**: 0.406 eV per formula unit
**Uncorrected energy**: -2.2399 eV per atom

a b c (Å): 6.476 6.476 6.476
angles (deg): 142.52 126.90 66.79
Fractional coordinates of all 4 atoms:
1 K 0.496 0.496 0.000
2 Tl 0.772 0.272 0.500
3 In 0.224 0.724 0.500
4 In 0.007 0.007 0.000

---

uncorrected energy of number 1 (K2TlIn)?
-1.7790 eV per atom

---

Copy entry 2 word for word.
VASP calculation (GGA-PBE) on KTl4In5 after structural relaxation.

Properties
**Uncorrected energy**: -2.4419 eV per atom

a b c (Å): 3.495 9.678 9.280
angles (deg): 104.61 90.00 100.40
Fractional coordinates of all 10 atoms:
1 Tl 0.304 0.608 0.908
2 In 0.889 0.779 0.230
3 K 0.500 0.000 0.000
4 Tl 0.108 0.215 0.327
5 In 0.709 0.418 0.605
6 In 0.111 0.221 0.770
7 In 0.500 0.000 0.500
8 Tl 0.892 0.785 0.673
9 Tl 0.696 0.392 0.092
10 In 0.291 0.582 0.395

---

uncorrected energy of number 3 (KTlIn)?
-2.0200 eV per atom